PBE-GGA La2CdAg5, relaxed; energy of formation = -204 meV per atom; spin magnetization = 0.00 μB/f.u.; raw total energy = -3.332 eV per atom; polymorph energy (0 for the lowest one) = 0.0000 eV/atom; SG = Cmcm, No. 63
1.0
2.303 -8.469 0.000
2.303 8.469 0.000
0.000 0.000 10.038
La Cd Ag
4 2 10
direct
0.000 0.000 0.000 La
0.000 0.000 0.500 La
0.204 0.796 0.750 La
0.796 0.204 0.250 La
0.446 0.554 0.250 Cd
0.554 0.446 0.750 Cd
0.185 0.815 0.111 Ag
0.185 0.815 0.389 Ag
0.350 0.650 0.027 Ag
0.350 0.650 0.473 Ag
0.393 0.607 0.750 Ag
0.607 0.393 0.250 Ag
0.650 0.350 0.527 Ag
0.650 0.350 0.973 Ag
0.815 0.185 0.611 Ag
0.815 0.185 0.889 Ag